[1]
# KTc2Te

Crystalline KTc2Te at its relaxed geometry (PBE-GGA, Alexandria).

a = 4.036 Å, b = 3.161 Å, c = 7.821 Å
α = 83.24°, β = 90.00°, γ = 90.00°
Fractional positions:
Te1 0.000 0.373 0.428
Tc1 0.500 0.389 0.181
Tc2 0.000 0.959 0.128
K1 0.500 0.779 0.763

Values from the calculation:
* SG: Pm
* E_form (uncorrected): 0.45 eV/atom
* calculated total energy: -5.795 eV/atom
* total magnetization: 0.000 Bohr magnetons per cell

[2]
# CrFe2Au

Crystalline CrFe2Au at its relaxed geometry (PBE-GGA, Alexandria).

a = 2.883 Å, b = 3.418 Å, c = 5.529 Å
α = 90.00°, β = 90.00°, γ = 90.00°
Site moments in Bohr magnetons follow the coordinates.
Fractional positions:
Cr1 0.500 0.500 0.789  -2.53
Fe1 0.000 0.000 0.996  2.07
Fe2 0.500 0.500 0.217  2.60
Au1 0.000 0.000 0.498  -0.04

Values from the calculation:
* SG: Pmm2
* formation energy from the elements: 0.166 eV/atom
* calculated total energy: -7.291 eV/atom
* total magnetization: 1.941 Bohr magnetons per cell

[3]
# Tc2PRu

Crystalline Tc2PRu at its relaxed geometry (PBE-GGA, Alexandria).

a = 3.595 Å, b = 3.595 Å, c = 4.314 Å
α = 90.00°, β = 90.00°, γ = 90.00°
Fractional positions:
P1 0.500 0.500 0.500
Tc1 0.500 0.000 0.000
Tc2 0.000 0.500 0.000
Ru1 0.000 0.000 0.500

Values from the calculation:
* SG: P4/mmm
* formation energy from the elements: 0.214 eV/atom
* calculated total energy: -8.640 eV/atom
* total magnetization: 0.000 Bohr magnetons per cell

[4]
# CeHo4Hg5

Crystalline CeHo4Hg5 at its relaxed geometry (PBE-GGA, Alexandria).

a = 3.707 Å, b = 3.707 Å, c = 18.909 Å
α = 90.00°, β = 90.00°, γ = 90.00°
Site moments in Bohr magnetons follow the coordinates.
Fractional positions:
Ce1 0.000 0.000 0.000  1.06
Hg1 0.500 0.500 0.500  0.00
Hg2 0.500 0.500 0.697  0.00
Hg3 0.500 0.500 0.111  0.01
Hg4 0.500 0.500 0.889  0.01
Hg5 0.500 0.500 0.303  0.00
Ho1 0.000 0.000 0.206  0.04
Ho2 0.000 0.000 0.598  0.01
Ho3 0.000 0.000 0.402  0.01
Ho4 0.000 0.000 0.794  0.04

Values from the calculation:
* SG: P4/mmm
* formation energy from the elements: -0.444 eV/atom
* calculated total energy: -3.020 eV/atom
* total magnetization: 1.602 Bohr magnetons per cell